First-principles (meta-GGA SCAN) data for a PBEsol-optimized structure of TaTl2Cr, as listed in Alexandria.

Calculated values
As for the total magnetization: 0.520 μB per atom. As for the symmetry: I4/mmm. The value obtained for the formation energy is 0.619 eV/atom. The calculated volume is 18.94 Å³ per atom. The calculation puts the energy above the most stable polymorph in this dataset at 2.56 kcal/mol of atoms.

Lattice parameters (Å, degrees): 4.2703 4.2703 5.1363 114.56 114.56 90.00
Closest atoms and distances in Å follow each position.
Atoms (fractional coordinates):
Cr1 0.5000 0.5000 0.0000  8 Tl 2.98, 4 Ta 3.02
Ta1 0.0000 0.0000 0.0000  8 Tl 2.98, 4 Cr 3.02
Tl1 0.7500 0.2500 0.5000  4 Ta 2.98, 4 Cr 2.98, 4 Tl 3.02
Tl2 0.2500 0.7500 0.5000  4 Ta 2.98, 4 Cr 2.98, 4 Tl 3.02

First-principles (meta-GGA SCAN) data for a PBEsol-optimized structure of Tb2Al5Ge2, as listed in Alexandria.

Calculated values
As for the total magnetization: 0.000 μB per atom. As for the symmetry: Cmce. The value obtained for the formation energy is -0.408 eV/atom. The calculated volume is 19.11 Å³ per atom.

Lattice parameters (Å, degrees): 5.7118 7.8965 8.1448 90.00 110.53 90.00
Closest atoms and distances in Å follow each position.
Atoms (fractional coordinates):
Tb1 0.8847 0.4178 0.7695  4 Ge 3.04-3.28, 8 Al 3.15-3.39
Tb2 0.1153 0.5822 0.2305  4 Ge 3.04-3.28, 8 Al 3.15-3.39
Tb3 0.6153 0.9178 0.2305  4 Ge 3.04-3.28, 8 Al 3.15-3.39
Tb4 0.3847 0.0822 0.7695  4 Ge 3.04-3.28, 8 Al 3.15-3.39
Al1 0.8005 0.2500 0.1010  5 Al 2.56-2.86
Al2 0.1995 0.7500 0.8990  5 Al 2.56-2.86
Al3 0.6995 0.7500 0.8990  5 Al 2.56-2.86
Al4 0.3005 0.2500 0.1010  5 Al 2.56-2.86
Al5 0.0000 0.0000 0.0000  4 Al 2.56, 2 Ge 2.77
Al6 0.5000 0.5000 0.0000  4 Al 2.56, 2 Ge 2.77
Al7 0.9698 0.2500 0.4395  3 Al 2.58-2.86, 4 Ge 2.65-2.79
Al8 0.0302 0.7500 0.5605  3 Al 2.58-2.86, 4 Ge 2.65-2.79
Al9 0.5302 0.7500 0.5605  3 Al 2.58-2.86, 4 Ge 2.65-2.79
Al10 0.4698 0.2500 0.4395  3 Al 2.58-2.86, 4 Ge 2.65-2.79
Ge1 0.8202 0.0443 0.6403  5 Al 2.65-2.79
Ge2 0.1798 0.9557 0.3597  5 Al 2.65-2.79
Ge3 0.6798 0.5443 0.3597  5 Al 2.65-2.79
Ge4 0.3202 0.4557 0.6403  5 Al 2.65-2.79

First-principles (meta-GGA SCAN) data for a PBEsol-optimized structure of TaAsPCl2, as listed in Alexandria.

Calculated values
As for the total magnetization: 0.567 μB per atom. As for the symmetry: P4/mmm. The calculated volume is 21.49 Å³ per atom. The value obtained for the formation energy (no corrections) is 1.043 eV/atom.

Lattice parameters (Å, degrees): 4.6056 4.6056 5.0655 90.00 90.00 90.00
Closest atoms and distances in Å follow each position.
Atoms (fractional coordinates):
P1 0.0000 0.0000 0.5000  2 As 2.53
As1 0.0000 0.0000 0.0000  4 Cl 2.30, 2 P 2.53
Cl1 0.0000 0.5000 0.0000  2 As 2.30
Cl2 0.5000 0.0000 0.0000  2 As 2.30
Ta1 0.5000 0.5000 0.5000  4 P 3.26, 8 Cl 3.42

First-principles (meta-GGA SCAN) data for a PBEsol-optimized structure of RbNb2InTe, as listed in Alexandria.

Calculated values
As for the total magnetization: 0.681 μB per atom. As for the symmetry: P4/mmm. The calculated volume is 32.45 Å³ per atom. The value obtained for the formation energy (no corrections) is 1.125 eV/atom.

Lattice parameters (Å, degrees): 5.1493 5.1493 6.1194 90.00 90.00 90.00
Closest atoms and distances in Å follow each position.
Atoms (fractional coordinates):
Nb1 0.0000 0.5000 0.0000  2 Te 2.57
Nb2 0.5000 0.0000 0.0000  2 Te 2.57
Te1 0.0000 0.0000 0.0000  4 Nb 2.57
Rb1 0.0000 0.0000 0.5000  2 Te 3.06
In1 0.5000 0.5000 0.5000  4 Rb 3.64, 8 Nb 4.00

- What is the formula in the first record?
  TaTl2Cr